Density functional theory data (PBE) for an optimized crystal structure of TcBI2.

Geometry as extended XYZ:
```
4
Lattice="0.000 3.388 3.388 3.388 0.000 3.388 3.388 3.388 0.000" Properties=species:S:1:pos:R:3 pbc="T T T"
Tc 0.000 0.000 0.000
B 3.388 3.388 3.388
I 1.694 1.694 1.694
I 5.082 5.082 5.082
```

## Properties
Final energy   -3.4465 eV/atom
Formation energy without anion corrections   1.589 eV/atom
Crystal system   cubic
Space-group type   Fm-3m